Below is RbFeBr2 after structural relaxation, with properties calculated at the PBE-GGA level.

Unit cell a=5.3907 b=5.3907 c=5.3907 alpha=60.00 beta=60.00 gamma=60.00
With the nearest neighbours (Å) after each atom.
Fractional positions:
Rb1 0.0000 0.0000 0.0000  8 Br 3.30
Fe1 0.5000 0.5000 0.5000  8 Br 3.30
Br1 0.2500 0.2500 0.2500  4 Fe 3.30, 4 Rb 3.30
Br2 0.7500 0.7500 0.7500  4 Fe 3.30, 4 Rb 3.30

Summary:
Its relative energy among the computed polymorphs is 405 meV per atom.

=====

Below is Ti3TcB after structural relaxation, with properties calculated at the PBE-GGA level.

Unit cell a=4.6320 b=4.6320 c=4.6320 alpha=90.00 beta=90.00 gamma=90.00
With the nearest neighbours (Å) after each atom.
Fractional positions:
Ti1 0.0000 0.0000 0.5000  2 Tc 2.32
Ti2 0.0000 0.5000 0.0000  2 Tc 2.32
Ti3 0.5000 0.0000 0.0000  2 Tc 2.32
Tc1 0.0000 0.0000 0.0000  6 Ti 2.32
B1 0.5000 0.5000 0.5000  12 Ti 3.28

Summary:
Its relative energy among the computed polymorphs is 1301 meV per atom. The value obtained for the formation energy is 6.37 eV per formula unit.

=====

Below is CdFe after structural relaxation, with properties calculated at the PBE-GGA level.

Unit cell a=2.9388 b=2.9388 c=8.9987 alpha=90.00 beta=90.00 gamma=120.00
With the nearest neighbours (Å) after each atom.
Fractional positions:
Cd1 0.3333 0.6667 0.3500  3 Fe 2.87, 9 Cd 2.94-3.19
Cd2 0.6667 0.3333 0.6500  3 Fe 2.87, 9 Cd 2.94-3.19
Fe1 0.3333 0.6667 0.9069  3 Fe 2.38
Fe2 0.6667 0.3333 0.0931  3 Fe 2.38

Summary:
The value obtained for the formation energy is 0.58 eV per formula unit.

=====

Below is K2MgIn7 after structural relaxation, with properties calculated at the PBE-GGA level.

Unit cell a=4.7933 b=4.7933 c=13.3262 alpha=90.00 beta=90.00 gamma=90.00
With the nearest neighbours (Å) after each atom.
Fractional positions:
K1 0.0000 0.5000 0.2491  14 In 3.68-4.11, 2 Mg 4.11
K2 0.5000 0.0000 0.7509  14 In 3.68-4.11, 2 Mg 4.11
Mg1 0.0000 0.0000 0.5000  4 In 3.01
In1 0.0000 0.0000 0.0000  8 In 3.05-3.39
In2 0.0000 0.5000 0.6372  3 In 2.95-3.01, 2 Mg 3.01
In3 0.0000 0.5000 0.8584  5 In 2.95-3.05
In4 0.5000 0.0000 0.1416  5 In 2.95-3.05
In5 0.5000 0.0000 0.3628  3 In 2.95-3.01, 2 Mg 3.01
In6 0.5000 0.5000 0.0000  8 In 3.05-3.39
In7 0.5000 0.5000 0.5000  4 In 3.01

Summary:
The value obtained for the formation energy is -1.17 eV per formula unit.

=====

Below is Al2InCl after structural relaxation, with properties calculated at the PBE-GGA level.

Unit cell a=5.1972 b=5.1972 c=5.1972 alpha=126.12 beta=126.12 gamma=79.68
With the nearest neighbours (Å) after each atom.
Fractional positions:
Al1 0.0000 0.0000 0.0000  4 Al 3.09, 4 Cl 3.09, 4 In 3.33
Al2 0.7500 0.2500 0.5000  4 Al 3.09, 4 In 3.09, 4 Cl 3.33
In1 0.5000 0.5000 0.0000  4 Cl 3.09, 8 Al 3.09-3.33
Cl1 0.2500 0.7500 0.5000  4 In 3.09, 8 Al 3.09-3.33

Summary:
Its relative energy among the computed polymorphs is 320 meV per atom.

=====

Below is Li2CdO after structural relaxation, with properties calculated at the PBE-GGA level.

Unit cell a=5.8908 b=5.8908 c=5.8908 alpha=119.90 beta=119.90 gamma=90.17
With the nearest neighbours (Å) after each atom.
Fractional positions:
Li1 0.3750 0.1272 0.2522  2 O 1.80
Li2 0.8728 0.1250 0.2478  2 O 1.80
Li3 0.8750 0.1228 0.7478  2 O 1.80
Li4 0.8772 0.6250 0.7522  2 O 1.80
Cd1 0.2500 0.7500 0.5000  12 Li 3.45-3.47, 4 Cd 3.61, 4 O 3.61
Cd2 0.5000 0.5000 0.0000  12 Li 3.45-3.47, 4 O 3.61, 4 Cd 3.61
O1 0.0000 0.0000 0.0000  4 Li 1.80
O2 0.7500 0.2500 0.5000  4 Li 1.80

Summary:
Its relative energy among the computed polymorphs is 0 meV per atom.

=====

Below is KSc2Rh after structural relaxation, with properties calculated at the PBE-GGA level.

Unit cell a=3.9665 b=3.9665 c=9.4518 alpha=101.67 beta=101.67 gamma=59.81
With the nearest neighbours (Å) after each atom.
Fractional positions:
K1 0.0000 0.0000 0.0000  6 K 3.96-3.97, 6 Sc 4.04-4.07
Sc1 0.2104 0.2104 0.6350  3 Rh 2.60
Sc2 0.7896 0.7896 0.3650  3 Rh 2.60
Rh1 0.5000 0.5000 0.5000  6 Sc 2.60

Summary:
Its relative energy among the computed polymorphs is 29 meV per atom. The value obtained for the formation energy is -0.85 eV per formula unit.

=====

Below is CeP2Pb after structural relaxation, with properties calculated at the PBE-GGA level.

Unit cell a=7.2854 b=7.2854 c=7.2854 alpha=33.44 beta=33.44 gamma=33.44
With the nearest neighbours (Å) after each atom.
Fractional positions:
Ce1 0.0000 0.0000 0.0000  6 P 2.78-2.91
P1 0.3999 0.3999 0.3999  3 Ce 2.78
P2 0.5885 0.5885 0.5885  3 Ce 2.91, 3 Pb 2.95
Pb1 0.1731 0.1731 0.1731  6 P 2.95-3.27

Summary:
Its relative energy among the computed polymorphs is 55 meV per atom. The value obtained for the formation energy is -2.49 eV per formula unit.

=====

Below is TbYGe2 after structural relaxation, with properties calculated at the PBE-GGA level.

Unit cell a=3.9743 b=5.8042 c=7.9823 alpha=90.00 beta=90.00 gamma=90.00
With the nearest neighbours (Å) after each atom.
Fractional positions:
Tb1 0.0000 0.1312 0.0000  7 Ge 2.98-3.25
Tb2 0.0000 0.8688 0.5000  7 Ge 2.98-3.25
Y1 0.5000 0.3690 0.3621  7 Ge 2.97-3.25
Y2 0.5000 0.6310 0.8621  7 Ge 2.97-3.25
Ge1 0.0000 0.3938 0.6404  2 Ge 2.68, 1 Tb 2.98, 4 Y 2.98-3.00
Ge2 0.0000 0.6062 0.1404  2 Ge 2.68, 1 Tb 2.98, 4 Y 2.98-3.00
Ge3 0.5000 0.1059 0.7219  2 Ge 2.68, 1 Y 2.97, 4 Tb 2.98-3.00
Ge4 0.5000 0.8941 0.2219  2 Ge 2.68, 1 Y 2.97, 4 Tb 2.98-3.00

Summary:
The value obtained for the formation energy is -3.53 eV per formula unit.

=====

Below is EuGaCuAg after structural relaxation, with properties calculated at the PBE-GGA level.

Unit cell a=4.8601 b=4.8601 c=4.8601 alpha=60.00 beta=60.00 gamma=60.00
With the nearest neighbours (Å) after each atom.
Fractional positions:
Eu1 0.0000 0.0000 0.0000  4 Ag 2.98, 4 Cu 2.98
Ga1 0.5000 0.5000 0.5000  4 Cu 2.98, 4 Ag 2.98
Cu1 0.2500 0.2500 0.2500  4 Ga 2.98, 4 Eu 2.98
Ag1 0.7500 0.7500 0.7500  4 Eu 2.98, 4 Ga 2.98

Summary:
The value obtained for the formation energy is -0.44 eV per formula unit.

=====

Number 1: magnetic moment 3.17 μB per formula unit, uncorrected energy -3.43 eV per atom, ρ 4.51 Mg/m³. Number 2: magnetic moment 1.50 μB per formula unit, uncorrected energy -6.87 eV per atom, ρ 4.22 Mg/m³. Number 3: magnetic moment 2.60 μB per formula unit, uncorrected energy -4.40 eV per atom, ρ 8.30 Mg/m³. Number 4: magnetic moment 0.00 μB per formula unit, uncorrected energy -2.41 eV per atom, ρ 4.91 Mg/m³. Number 5: magnetic moment 0.00 μB per formula unit, uncorrected energy -2.91 eV per atom, ρ 3.83 Mg/m³. Number 6: magnetic moment 0.00 μB per formula unit, uncorrected energy -3.51 eV per atom, ρ 3.26 Mg/m³. Number 7: magnetic moment 0.00 μB per formula unit, uncorrected energy -5.49 eV per atom, ρ 3.08 Mg/m³. Number 8: magnetic moment 0.00 μB per formula unit, uncorrected energy -5.74 eV per atom, ρ 6.50 Mg/m³. Number 9: magnetic moment 0.00 μB per formula unit, uncorrected energy -5.96 eV per atom, ρ 7.09 Mg/m³. Number 10: magnetic moment 6.99 μB per formula unit, uncorrected energy -5.17 eV per atom, ρ 8.04 Mg/m³.